(A)
{"formula": "TlCr2Sb", "functional": "GGA-PBE", "state": "relaxed", "m_tot_mub_per_cell": 29.31, "rho_g_cm3": 7.8, "cell": [[7.550, 0.000, 0.000], [0.000, 7.550, 0.000], [0.000, 0.000, 6.414]], "species": ["Tl", "Tl", "Tl", "Tl", "Cr", "Cr", "Cr", "Cr", "Cr", "Cr", "Cr", "Cr", "Sb", "Sb", "Sb", "Sb"], "fractional_positions": [[0.000, 0.000, 0.000], [0.000, 0.500, 0.250], [0.500, 0.000, 0.750], [0.500, 0.500, 0.500], [0.233, 0.250, 0.625], [0.250, 0.733, 0.875], [0.250, 0.767, 0.375], [0.267, 0.250, 0.125], [0.733, 0.750, 0.125], [0.750, 0.233, 0.375], [0.750, 0.267, 0.875], [0.767, 0.750, 0.625], [0.000, 0.000, 0.500], [0.000, 0.500, 0.750], [0.500, 0.000, 0.250], [0.500, 0.500, 0.000]]}

(B)
{"formula": "TlCr2Sb", "functional": "GGA-PBE", "state": "relaxed", "m_tot_mub_per_cell": 0.52, "rho_g_cm3": 8.7, "cell": [[3.234, 0.000, 0.000], [-1.617, 2.800, 0.000], [0.000, 0.000, 27.101]], "species": ["Tl", "Tl", "Tl", "Cr", "Cr", "Cr", "Cr", "Cr", "Cr", "Sb", "Sb", "Sb"], "fractional_positions": [[0.000, 0.000, 0.000], [0.333, 0.667, 0.667], [0.667, 0.333, 0.333], [0.000, 0.000, 0.247], [0.000, 0.000, 0.520], [0.333, 0.667, 0.187], [0.333, 0.667, 0.913], [0.667, 0.333, 0.580], [0.667, 0.333, 0.854], [0.000, 0.000, 0.774], [0.333, 0.667, 0.440], [0.667, 0.333, 0.107]]}

(C)
{"formula": "TlCr2Sb", "functional": "GGA-PBE", "state": "relaxed", "m_tot_mub_per_cell": 33.90, "rho_g_cm3": 7.9, "cell": [[7.139, 0.000, 0.000], [0.000, 7.139, 0.000], [0.000, 0.000, 7.139]], "species": ["Tl", "Tl", "Tl", "Tl", "Cr", "Cr", "Cr", "Cr", "Cr", "Cr", "Cr", "Cr", "Sb", "Sb", "Sb", "Sb"], "fractional_positions": [[0.000, 0.000, 0.000], [0.000, 0.500, 0.500], [0.500, 0.000, 0.500], [0.500, 0.500, 0.000], [0.000, 0.000, 0.500], [0.000, 0.500, 0.000], [0.250, 0.250, 0.750], [0.250, 0.750, 0.250], [0.500, 0.000, 0.000], [0.500, 0.500, 0.500], [0.750, 0.250, 0.250], [0.750, 0.750, 0.750], [0.250, 0.250, 0.250], [0.250, 0.750, 0.750], [0.750, 0.250, 0.750], [0.750, 0.750, 0.250]]}

Stability, highest: (B)

(A)
{"formula": "TlCr2Sb", "functional": "GGA-PBE", "state": "relaxed", "m_tot_mub_per_cell": 0.02, "rho_g_cm3": 8.5, "cell": [[4.061, 0.000, 0.000], [0.000, 4.201, 0.000], [0.000, 0.000, 9.908]], "species": ["Tl", "Tl", "Cr", "Cr", "Cr", "Cr", "Sb", "Sb"], "fractional_positions": [[0.000, 0.000, 0.000], [0.000, 0.500, 0.500], [0.000, 0.000, 0.283], [0.000, 0.500, 0.783], [0.500, 0.000, 0.439], [0.500, 0.500, 0.939], [0.500, 0.000, 0.734], [0.500, 0.500, 0.234]]}

(B)
{"formula": "TlCr2Sb", "functional": "GGA-PBE", "state": "relaxed", "m_tot_mub_per_cell": 31.83, "rho_g_cm3": 8.6, "cell": [[6.937, 0.000, 0.000], [0.000, 6.937, 0.000], [0.000, 0.000, 6.937]], "species": ["Tl", "Tl", "Tl", "Tl", "Cr", "Cr", "Cr", "Cr", "Cr", "Cr", "Cr", "Cr", "Sb", "Sb", "Sb", "Sb"], "fractional_positions": [[0.000, 0.000, 0.000], [0.000, 0.500, 0.500], [0.500, 0.000, 0.500], [0.500, 0.500, 0.000], [0.250, 0.250, 0.250], [0.250, 0.250, 0.750], [0.250, 0.750, 0.250], [0.250, 0.750, 0.750], [0.750, 0.250, 0.250], [0.750, 0.250, 0.750], [0.750, 0.750, 0.250], [0.750, 0.750, 0.750], [0.000, 0.000, 0.500], [0.000, 0.500, 0.000], [0.500, 0.000, 0.000], [0.500, 0.500, 0.500]]}

(C)
{"formula": "TlCr2Sb", "functional": "GGA-PBE", "state": "relaxed", "m_tot_mub_per_cell": 21.20, "rho_g_cm3": 8.4, "cell": [[3.451, 0.000, 0.000], [-1.726, 2.989, 0.000], [0.000, 0.000, 24.674]], "species": ["Tl", "Tl", "Tl", "Cr", "Cr", "Cr", "Cr", "Cr", "Cr", "Sb", "Sb", "Sb"], "fractional_positions": [[0.000, 0.000, 0.000], [0.333, 0.667, 0.667], [0.667, 0.333, 0.333], [0.000, 0.000, 0.245], [0.000, 0.000, 0.755], [0.333, 0.667, 0.422], [0.333, 0.667, 0.912], [0.667, 0.333, 0.088], [0.667, 0.333, 0.578], [0.000, 0.000, 0.500], [0.333, 0.667, 0.167], [0.667, 0.333, 0.833]]}

(D)
{"formula": "TlCr2Sb", "functional": "GGA-PBE", "state": "relaxed", "m_tot_mub_per_cell": 8.04, "rho_g_cm3": 8.5, "cell": [[4.748, 0.000, 0.000], [0.000, 4.748, 0.000], [0.000, 0.000, 3.720]], "species": ["Tl", "Cr", "Cr", "Sb"], "fractional_positions": [[0.000, 0.000, 0.000], [0.000, 0.500, 0.500], [0.500, 0.000, 0.500], [0.500, 0.500, 0.000]]}

Stability, highest: (A)

(A)
{"formula": "TlCr2Sb", "functional": "GGA-PBE", "state": "relaxed", "m_tot_mub_per_cell": 15.02, "rho_g_cm3": 8.4, "cell": [[8.686, 0.000, 0.000], [0.000, 3.472, 0.000], [-1.353, 0.000, 5.661]], "species": ["Tl", "Tl", "Cr", "Cr", "Cr", "Cr", "Sb", "Sb"], "fractional_positions": [[0.000, 0.000, 0.000], [0.500, 0.500, 0.000], [0.244, 0.000, 0.740], [0.256, 0.500, 0.260], [0.744, 0.500, 0.740], [0.756, 0.000, 0.260], [0.000, 0.500, 0.500], [0.500, 0.000, 0.500]]}

(B)
{"formula": "TlCr2Sb", "functional": "GGA-PBE", "state": "relaxed", "m_tot_mub_per_cell": 13.87, "rho_g_cm3": 8.7, "cell": [[10.535, 0.000, 0.000], [0.000, 3.590, 0.000], [-1.064, 0.000, 4.341]], "species": ["Tl", "Tl", "Cr", "Cr", "Cr", "Cr", "Sb", "Sb"], "fractional_positions": [[0.000, 0.000, 0.000], [0.500, 0.500, 0.000], [0.255, 0.000, 0.886], [0.481, 0.000, 0.493], [0.755, 0.500, 0.886], [0.981, 0.500, 0.493], [0.253, 0.500, 0.398], [0.753, 0.000, 0.398]]}

Stability, highest: (B)

(A)
{"formula": "TlCrSb2", "functional": "GGA-PBE", "state": "relaxed", "m_tot_mub_per_cell": 3.67, "rho_g_cm3": 7.9, "cell": [[3.726, 0.000, 0.000], [0.000, 3.726, 0.000], [0.000, 0.000, 7.522]], "species": ["Tl", "Cr", "Sb", "Sb"], "fractional_positions": [[0.000, 0.000, 0.000], [0.500, 0.500, 0.328], [0.000, 0.000, 0.440], [0.500, 0.500, 0.713]]}

(B)
{"formula": "TlCrSb2", "functional": "GGA-PBE", "state": "relaxed", "m_tot_mub_per_cell": 6.10, "rho_g_cm3": 7.7, "cell": [[3.223, 0.000, 0.000], [0.000, 3.733, 0.000], [0.000, 0.000, 17.991]], "species": ["Tl", "Tl", "Cr", "Cr", "Sb", "Sb", "Sb", "Sb"], "fractional_positions": [[0.000, 0.000, 0.000], [0.500, 0.500, 0.500], [0.000, 0.500, 0.734], [0.500, 0.000, 0.234], [0.000, 0.000, 0.360], [0.000, 0.500, 0.163], [0.500, 0.000, 0.663], [0.500, 0.500, 0.860]]}

Stability, highest: (B)

(A)
{"formula": "TlCrSb2", "functional": "GGA-PBE", "state": "relaxed", "m_tot_mub_per_cell": 11.96, "rho_g_cm3": 6.2, "cell": [[6.290, 0.000, 0.000], [0.000, 6.290, 0.000], [0.000, 0.000, 13.544]], "species": ["Tl", "Tl", "Tl", "Tl", "Cr", "Cr", "Cr", "Cr", "Sb", "Sb", "Sb", "Sb", "Sb", "Sb", "Sb", "Sb"], "fractional_positions": [[0.000, 0.000, 0.000], [0.000, 0.500, 0.250], [0.500, 0.000, 0.750], [0.500, 0.500, 0.500], [0.000, 0.000, 0.500], [0.000, 0.500, 0.750], [0.500, 0.000, 0.250], [0.500, 0.500, 0.000], [0.200, 0.250, 0.625], [0.250, 0.700, 0.875], [0.250, 0.800, 0.375], [0.300, 0.250, 0.125], [0.700, 0.750, 0.125], [0.750, 0.200, 0.375], [0.750, 0.300, 0.875], [0.800, 0.750, 0.625]]}

(B)
{"formula": "TlCrSb2", "functional": "GGA-PBE", "state": "relaxed", "m_tot_mub_per_cell": 3.23, "rho_g_cm3": 8.4, "cell": [[3.359, 0.000, 0.000], [-1.680, 2.909, 0.000], [0.000, 0.000, 30.199]], "species": ["Tl", "Tl", "Tl", "Cr", "Cr", "Cr", "Sb", "Sb", "Sb", "Sb", "Sb", "Sb"], "fractional_positions": [[0.000, 0.000, 0.000], [0.333, 0.667, 0.667], [0.667, 0.333, 0.333], [0.000, 0.000, 0.500], [0.333, 0.667, 0.167], [0.667, 0.333, 0.833], [0.000, 0.000, 0.228], [0.000, 0.000, 0.772], [0.333, 0.667, 0.438], [0.333, 0.667, 0.895], [0.667, 0.333, 0.105], [0.667, 0.333, 0.562]]}

Stability, highest: (B)

(A)
{"formula": "TlCrSb", "functional": "GGA-PBE", "state": "relaxed", "m_tot_mub_per_cell": 7.02, "rho_g_cm3": 8.4, "cell": [[3.458, 0.000, 0.000], [0.000, 3.458, 0.000], [0.000, 0.000, 12.494]], "species": ["Tl", "Tl", "Cr", "Cr", "Sb", "Sb"], "fractional_positions": [[0.000, 0.000, 0.000], [0.500, 0.500, 0.500], [0.000, 0.000, 0.669], [0.500, 0.500, 0.169], [0.000, 0.000, 0.278], [0.500, 0.500, 0.778]]}

(B)
{"formula": "TlCrSb", "functional": "GGA-PBE", "state": "relaxed", "m_tot_mub_per_cell": 16.01, "rho_g_cm3": 8.1, "cell": [[6.766, 0.000, 0.000], [0.000, 6.766, 0.000], [0.000, 0.000, 6.766]], "species": ["Tl", "Tl", "Tl", "Tl", "Cr", "Cr", "Cr", "Cr", "Sb", "Sb", "Sb", "Sb"], "fractional_positions": [[0.000, 0.000, 0.000], [0.000, 0.500, 0.500], [0.500, 0.000, 0.500], [0.500, 0.500, 0.000], [0.250, 0.250, 0.250], [0.250, 0.750, 0.750], [0.750, 0.250, 0.750], [0.750, 0.750, 0.250], [0.000, 0.000, 0.500], [0.000, 0.500, 0.000], [0.500, 0.000, 0.000], [0.500, 0.500, 0.500]]}

Stability, highest: (B)